This record from Alexandria via LeMat-Bulk describes Mn2InCl after structural relaxation. The functional is PBE.

The space group is Fm-3m (No. 225) and the conventional cell measures 6.720, 6.720 and 6.720 Å, with angles of 90.00, 90.00 and 90.00 degrees. The asymmetric unit holds Mn at (0.250, 0.250, 0.250), In at (0.000, 0.000, 0.000) and Cl at (0.000, 0.000, 0.500).

The uncorrected formation energy comes out at 44 kJ/mol of atoms. For the energy relative to the lowest polymorph listed for this composition, the calculation gives 0.419 eV/atom. Its total DFT energy (no corrections) is -5.28 eV per atom.